[1]
# Tb2BeGe4Pt3

A geometry-optimized Tb2BeGe4Pt3 structure (PBE, Alexandria).

space-group type = No. 115

Lattice parameters (Å, degrees): 4.1012 4.1012 10.8397 90.00 90.00 90.00
Fractional coordinates of all 10 atoms:
Tb1 0.0000 0.5000 0.2355
Tb2 0.5000 0.0000 0.7645
Be1 0.5000 0.5000 0.0000
Ge1 0.0000 0.0000 0.5000
Ge2 0.0000 0.5000 0.8677
Ge3 0.5000 0.0000 0.1323
Ge4 0.5000 0.5000 0.5000
Pt1 0.0000 0.0000 0.0000
Pt2 0.0000 0.5000 0.6402
Pt3 0.5000 0.0000 0.3598


[2]
# Tb2BeGe3Pt4

A geometry-optimized Tb2BeGe3Pt4 structure (PBE, Alexandria).

space-group type = No. 115

Lattice parameters (Å, degrees): 4.2112 4.2112 10.1775 90.00 90.00 90.00
Fractional coordinates of all 10 atoms:
Tb1 0.0000 0.5000 0.2381
Tb2 0.5000 0.0000 0.7619
Be1 0.5000 0.5000 0.0000
Ge1 0.0000 0.0000 0.0000
Ge2 0.0000 0.5000 0.6396
Ge3 0.5000 0.0000 0.3604
Pt1 0.0000 0.0000 0.5000
Pt2 0.0000 0.5000 0.8776
Pt3 0.5000 0.0000 0.1224
Pt4 0.5000 0.5000 0.5000


[3]
# Th2BeGePt6

A geometry-optimized Th2BeGePt6 structure (PBE, Alexandria).

space-group type = No. 225

Lattice parameters (Å, degrees): 6.4886 6.4886 6.4886 60.00 60.00 60.00
Fractional coordinates of all 10 atoms:
Th1 0.2500 0.2500 0.2500
Th2 0.7500 0.7500 0.7500
Be1 0.0000 0.0000 0.0000
Ge1 0.5000 0.5000 0.5000
Pt1 0.2362 0.2362 0.7638
Pt2 0.2362 0.7638 0.2362
Pt3 0.2362 0.7638 0.7638
Pt4 0.7638 0.2362 0.2362
Pt5 0.7638 0.2362 0.7638
Pt6 0.7638 0.7638 0.2362


[4]
# Th2Be3GePt4

A geometry-optimized Th2Be3GePt4 structure (PBE, Alexandria).

space-group type = No. 115

Lattice parameters (Å, degrees): 4.1473 4.1473 9.8841 90.00 90.00 90.00
Fractional coordinates of all 10 atoms:
Th1 0.0000 0.5000 0.2493
Th2 0.5000 0.0000 0.7507
Be1 0.0000 0.5000 0.8812
Be2 0.5000 0.0000 0.1188
Be3 0.5000 0.5000 0.5000
Ge1 0.0000 0.0000 0.5000
Pt1 0.0000 0.0000 0.0000
Pt2 0.0000 0.5000 0.6428
Pt3 0.5000 0.0000 0.3572
Pt4 0.5000 0.5000 0.0000


[5]
# ThBeGePt

A geometry-optimized ThBeGePt structure (PBE, Alexandria).

space-group type = No. 129

Lattice parameters (Å, degrees): 4.1820 4.1820 8.7716 90.00 90.00 90.00
Fractional coordinates of all 8 atoms:
Th1 0.2500 0.2500 0.2108
Th2 0.7500 0.7500 0.7892
Be1 0.2500 0.2500 0.6189
Be2 0.7500 0.7500 0.3811
Ge1 0.2500 0.2500 0.8749
Ge2 0.7500 0.7500 0.1251
Pt1 0.2500 0.7500 0.5000
Pt2 0.7500 0.2500 0.5000


[6]
# Th2BeGe3Pt4

A geometry-optimized Th2BeGe3Pt4 structure (PBE, Alexandria).

space-group type = No. 115

Lattice parameters (Å, degrees): 4.3140 4.3140 10.0159 90.00 90.00 90.00
Fractional coordinates of all 10 atoms:
Th1 0.0000 0.5000 0.2446
Th2 0.5000 0.0000 0.7554
Be1 0.5000 0.5000 0.0000
Ge1 0.0000 0.0000 0.0000
Ge2 0.0000 0.5000 0.6366
Ge3 0.5000 0.0000 0.3634
Pt1 0.0000 0.0000 0.5000
Pt2 0.0000 0.5000 0.8823
Pt3 0.5000 0.0000 0.1177
Pt4 0.5000 0.5000 0.5000


[7]
# Tm2Be3GePt4

A geometry-optimized Tm2Be3GePt4 structure (PBE, Alexandria).

space-group type = No. 115

Lattice parameters (Å, degrees): 4.0565 4.0565 9.6488 90.00 90.00 90.00
Fractional coordinates of all 10 atoms:
Tm1 0.0000 0.5000 0.2441
Tm2 0.5000 0.0000 0.7559
Be1 0.0000 0.5000 0.8802
Be2 0.5000 0.0000 0.1198
Be3 0.5000 0.5000 0.5000
Ge1 0.0000 0.0000 0.5000
Pt1 0.0000 0.0000 0.0000
Pt2 0.0000 0.5000 0.6454
Pt3 0.5000 0.0000 0.3546
Pt4 0.5000 0.5000 0.0000


[8]
# Tm2BeGePt6

A geometry-optimized Tm2BeGePt6 structure (PBE, Alexandria).

space-group type = No. 12

Lattice parameters (Å, degrees): 5.6333 5.6333 7.3771 112.39 112.39 60.03
Fractional coordinates of all 10 atoms:
Tm1 0.2091 0.2091 0.1263
Tm2 0.7909 0.7909 0.8737
Be1 0.0000 0.0000 0.5000
Ge1 0.5000 0.5000 0.0000
Pt1 0.2402 0.7345 0.7164
Pt2 0.2405 0.2405 0.7172
Pt3 0.2655 0.7598 0.2836
Pt4 0.7345 0.2402 0.7164
Pt5 0.7595 0.7595 0.2828
Pt6 0.7598 0.2655 0.2836


| no. | E_tot (eV per atom) |
| --- | --- |
| 1 | -5.739 |
| 2 | -5.994 |
| 3 | -6.636 |
| 4 | -6.376 |
| 5 | -6.168 |
| 6 | -6.572 |
| 7 | -5.813 |
| 8 | -6.187 |